Ba2NaMnO4, optimized geometry, DFT PBE+U; uncorrected energy = -47.4 eV/f.u.; SG = C2/c (15)
1.0
4.868 -4.835 0.000
4.868 4.835 0.000
-4.613 0.000 6.135
Ba Na Mn O
4 2 2 8
Cartesian
0.000 0.000 0.000
-2.307 0.000 3.067
2.434 2.418 0.000
0.127 -2.418 3.067
4.868 0.000 0.000
2.561 0.000 3.067
0.127 2.418 3.067
2.434 -2.418 0.000
2.110 2.349 2.626
0.202 0.441 2.830
-2.105 -0.441 5.897
5.319 2.349 0.442
-0.197 -2.349 5.693
7.227 0.441 0.238
4.920 -0.441 3.305
3.013 -2.349 3.509